Entry 1:
# Cd2SeBrN

A relaxed structure of Cd2SeBrN (PBE-GGA, Alexandria).

The structure in CIF format:
```
data_Cd2SeBrN
_space_group_name_H-M_alt 'P 4/m m m'
_space_group_IT_number 123
_space_group_name_Hall '-P 4 2'
_cell_length_a 5.624
_cell_length_b 5.624
_cell_length_c 3.767
_cell_angle_alpha 90.00
_cell_angle_beta 90.00
_cell_angle_gamma 90.00
loop_
_atom_site_label
_atom_site_type_symbol
_atom_site_fract_x
_atom_site_fract_y
_atom_site_fract_z
_atom_site_occupancy
Cd1 Cd 0.000 0.500 0.000 1
Se1 Se 0.000 0.000 0.000 1
Br1 Br 0.500 0.500 0.500 1
N1 N 0.000 0.000 0.500 1
```


Entry 2:
# CdSeBrN2 PBE-GGA optimized geometry
# energy above the most stable polymorph in this dataset	119	meV per atom
data_CdSeBrN2
_space_group_name_H-M_alt 'P 4/m m m'
_space_group_IT_number 123
_space_group_name_Hall '-P 4 2'
_cell_length_a 3.883
_cell_length_b 3.883
_cell_length_c 7.918
_cell_angle_alpha 90.00
_cell_angle_beta 90.00
_cell_angle_gamma 90.00
loop_
_atom_site_label
_atom_site_type_symbol
_atom_site_fract_x
_atom_site_fract_y
_atom_site_fract_z
_atom_site_occupancy
Cd1 Cd 0.000 0.000 0.000 1
Se1 Se 0.500 0.500 0.000 1
Br1 Br 0.500 0.500 0.500 1
N1 N 0.000 0.500 0.500 1


Entry 3:
# CdTeBrN2 PBE-GGA optimized geometry
# energy above the most stable polymorph in this dataset	267	meV per atom
data_CdTeBrN2
_space_group_name_H-M_alt 'P 4/m m m'
_space_group_IT_number 123
_space_group_name_Hall '-P 4 2'
_cell_length_a 4.111
_cell_length_b 4.111
_cell_length_c 8.625
_cell_angle_alpha 90.00
_cell_angle_beta 90.00
_cell_angle_gamma 90.00
loop_
_atom_site_label
_atom_site_type_symbol
_atom_site_fract_x
_atom_site_fract_y
_atom_site_fract_z
_atom_site_occupancy
Cd1 Cd 0.000 0.000 0.000 1
Te1 Te 0.500 0.500 0.000 1
Br1 Br 0.500 0.500 0.500 1
N1 N 0.000 0.500 0.500 1


Entry 4:
# CdTeBrN2 PBE-GGA optimized geometry
# energy above the most stable polymorph in this dataset	0	meV per atom
data_CdTeBrN2
_space_group_name_H-M_alt 'P 4/m m m'
_space_group_IT_number 123
_space_group_name_Hall '-P 4 2'
_cell_length_a 4.400
_cell_length_b 4.400
_cell_length_c 6.499
_cell_angle_alpha 90.00
_cell_angle_beta 90.00
_cell_angle_gamma 90.00
loop_
_atom_site_label
_atom_site_type_symbol
_atom_site_fract_x
_atom_site_fract_y
_atom_site_fract_z
_atom_site_occupancy
Cd1 Cd 0.000 0.000 0.000 1
Te1 Te 0.000 0.000 0.500 1
Br1 Br 0.500 0.500 0.500 1
N1 N 0.000 0.500 0.000 1


Entry 5:
# Ti2CdBrN

A relaxed structure of Ti2CdBrN (PBE-GGA, Alexandria).

The structure in CIF format:
```
data_Ti2CdBrN
_space_group_name_H-M_alt 'P 4/m m m'
_space_group_IT_number 123
_space_group_name_Hall '-P 4 2'
_cell_length_a 4.658
_cell_length_b 4.658
_cell_length_c 5.311
_cell_angle_alpha 90.00
_cell_angle_beta 90.00
_cell_angle_gamma 90.00
loop_
_atom_site_label
_atom_site_type_symbol
_atom_site_fract_x
_atom_site_fract_y
_atom_site_fract_z
_atom_site_occupancy
Ti1 Ti 0.000 0.500 0.000 1
Cd1 Cd 0.000 0.000 0.500 1
Br1 Br 0.000 0.000 0.000 1
N1 N 0.500 0.500 0.500 1
```


Entry 6:
# VCd2BrN

A relaxed structure of VCd2BrN (PBE-GGA, Alexandria).

The structure in CIF format:
```
data_VCd2BrN
_space_group_name_H-M_alt 'P 4/m m m'
_space_group_IT_number 123
_space_group_name_Hall '-P 4 2'
_cell_length_a 4.236
_cell_length_b 4.236
_cell_length_c 7.005
_cell_angle_alpha 90.00
_cell_angle_beta 90.00
_cell_angle_gamma 90.00
loop_
_atom_site_label
_atom_site_type_symbol
_atom_site_fract_x
_atom_site_fract_y
_atom_site_fract_z
_atom_site_occupancy
V1 V 0.000 0.000 0.000 1
Cd1 Cd 0.000 0.500 0.500 1
Br1 Br 0.500 0.500 0.000 1
N1 N 0.500 0.500 0.500 1
```


Number 1: total DFT energy (no corrections) -12.73 eV/cell, E_form (uncorrected) 0.516 eV per atom. Number 2: total DFT energy (no corrections) -13.73 eV/cell, E_form (uncorrected) 1.798 eV per atom. Number 3: total DFT energy (no corrections) -13.09 eV/cell, E_form (uncorrected) 1.857 eV per atom. Number 4: total DFT energy (no corrections) -14.43 eV/cell, E_form (uncorrected) 1.590 eV per atom. Number 5: total DFT energy (no corrections) -18.08 eV/cell, E_form (uncorrected) 1.724 eV per atom. Number 6: total DFT energy (no corrections) -15.58 eV/cell, E_form (uncorrected) 1.074 eV per atom.